Material: Ta2ZnH
Method: DFT, PBE
State: optimized geometry

CIF file:
```
data_Ta2ZnH
_cell_length_a 3.2619
_cell_length_b 3.2619
_cell_length_c 22.3831
_cell_angle_alpha 90.00
_cell_angle_beta 90.00
_cell_angle_gamma 120.00
_symmetry_space_group_name_H-M 'R -3 m'
_symmetry_Int_Tables_number 166
_symmetry_space_group_name_Hall '-R 3 2"'
loop_
_atom_site_label
_atom_site_fract_x
_atom_site_fract_y
_atom_site_fract_z
Ta1 0.0000 0.0000 0.1245
Zn1 0.0000 0.0000 0.0000
H1 0.0000 0.0000 0.5000
```



Material: Te2PBr
Method: DFT, PBE
State: optimized geometry

Output
- Raw formation energy: 0.45 eV/atom

CIF file:
```
data_Te2PBr
_cell_length_a 8.023
_cell_length_b 7.988
_cell_length_c 5.496
_cell_angle_alpha 90.00
_cell_angle_beta 126.28
_cell_angle_gamma 90.00
_symmetry_space_group_name_H-M 'C 1 2/m 1'
_symmetry_Int_Tables_number 12
loop_
_symmetry_equiv_pos_as_xyz
'x,y,z'
'-x,-y,-z'
'-x,y,-z'
'x,-y,z'
'x+1/2,y+1/2,z'
'-x+1/2,-y+1/2,-z'
'-x+1/2,y+1/2,-z'
'x+1/2,-y+1/2,z'
loop_
_atom_site_label
_atom_site_fract_x
_atom_site_fract_y
_atom_site_fract_z
Te1 0.250 0.250 0.000
P1 0.000 0.000 0.000
Br1 0.000 0.500 0.000
```



Material: Ca2ErH12Rh3
Method: DFT, PBE
State: optimized geometry

CIF file:
```
data_Ca2ErH12Rh3
_cell_length_a 6.6351
_cell_length_b 6.6351
_cell_length_c 13.8136
_cell_angle_alpha 90.00
_cell_angle_beta 90.00
_cell_angle_gamma 120.00
_symmetry_space_group_name_H-M 'R -3 m'
_symmetry_Int_Tables_number 166
_symmetry_space_group_name_Hall '-R 3 2"'
loop_
_atom_site_label
_atom_site_fract_x
_atom_site_fract_y
_atom_site_fract_z
Ca1 0.0000 0.0000 0.1200
Er1 0.0000 0.0000 0.5000
H1 0.0315 0.5158 0.8790
H2 0.0635 0.5317 0.3187
Rh1 0.0000 0.5000 0.0000
```



Material: Er2SnPd7
Method: DFT, PBE
State: optimized geometry

CIF file:
```
data_Er2SnPd7
_cell_length_a 7.356
_cell_length_b 14.899
_cell_length_c 4.012
_cell_angle_alpha 90.00
_cell_angle_beta 90.00
_cell_angle_gamma 90.00
_symmetry_space_group_name_H-M 'C m m m'
_symmetry_Int_Tables_number 65
_symmetry_space_group_name_Hall '-C 2 2'
loop_
_atom_site_label
_atom_site_fract_x
_atom_site_fract_y
_atom_site_fract_z
Er1 0.000 0.191 0.000
Sn1 0.000 0.500 0.500
Pd1 0.000 0.000 0.000
Pd2 0.000 0.312 0.500
Pd3 0.185 0.404 0.000
```



Material: Na2CeZnSe4
Method: DFT, PBE
State: optimized geometry

Output
- Raw formation energy: -1.16 eV/atom

CIF file:
```
data_Na2CeZnSe4
_cell_length_a 11.590
_cell_length_b 11.863
_cell_length_c 7.939
_cell_angle_alpha 90.00
_cell_angle_beta 133.18
_cell_angle_gamma 90.00
_symmetry_space_group_name_H-M 'C 1 2/c 1'
_symmetry_Int_Tables_number 15
loop_
_symmetry_equiv_pos_as_xyz
'x,y,z'
'-x,-y,-z'
'-x,y,-z+1/2'
'x,-y,z+1/2'
'x+1/2,y+1/2,z'
'-x+1/2,-y+1/2,-z'
'-x+1/2,y+1/2,-z+1/2'
'x+1/2,-y+1/2,z+1/2'
loop_
_atom_site_label
_atom_site_fract_x
_atom_site_fract_y
_atom_site_fract_z
Na1 0.000 0.000 0.000
Na2 0.250 0.250 0.000
Ce1 0.250 0.250 0.500
Zn1 0.000 0.500 0.000
Se1 0.000 0.246 0.009
Se2 0.211 0.493 0.462
```



Material: U2PRu
Method: DFT, PBE
State: optimized geometry

CIF file:
```
data_U2PRu
_cell_length_a 6.051
_cell_length_b 5.220
_cell_length_c 11.329
_cell_angle_alpha 90.00
_cell_angle_beta 122.22
_cell_angle_gamma 90.00
_symmetry_space_group_name_H-M 'P 1 21/c 1'
_symmetry_Int_Tables_number 14
loop_
_symmetry_equiv_pos_as_xyz
'x,y,z'
'-x,-y,-z'
'-x,y+1/2,-z+1/2'
'x,-y+1/2,z+1/2'
loop_
_atom_site_label
_atom_site_fract_x
_atom_site_fract_y
_atom_site_fract_z
U1 0.003 0.156 0.410
U2 0.318 0.656 0.910
P1 0.355 0.000 0.106
Ru1 0.275 0.250 0.250
```



Material: Tl2HgBiH
Method: DFT, PBE
State: optimized geometry

CIF file:
```
data_Tl2HgBiH
_cell_length_a 4.960
_cell_length_b 4.960
_cell_length_c 5.026
_cell_angle_alpha 90.00
_cell_angle_beta 90.00
_cell_angle_gamma 90.00
_symmetry_space_group_name_H-M 'P 4/m m m'
_symmetry_Int_Tables_number 123
_symmetry_space_group_name_Hall '-P 4 2'
loop_
_atom_site_label
_atom_site_fract_x
_atom_site_fract_y
_atom_site_fract_z
Tl1 0.000 0.500 0.000
Hg1 0.000 0.000 0.500
Bi1 0.500 0.500 0.500
H1 0.000 0.000 0.000
```



Material: CaPd
Method: DFT, PBE
State: optimized geometry

CIF file:
```
data_CaPd
_cell_length_a 11.055
_cell_length_b 11.055
_cell_length_c 3.243
_cell_angle_alpha 90.00
_cell_angle_beta 90.00
_cell_angle_gamma 90.00
_symmetry_space_group_name_H-M 'I 4/m'
_symmetry_Int_Tables_number 87
_symmetry_space_group_name_Hall '-I 4'
loop_
_atom_site_label
_atom_site_fract_x
_atom_site_fract_y
_atom_site_fract_z
Ca1 0.131 0.672 0.000
Pd1 0.072 0.168 0.000
```



Material: CsMg2ZrBe
Method: DFT, PBE
State: optimized geometry

CIF file:
```
data_CsMg2ZrBe
_cell_length_a 5.564
_cell_length_b 5.564
_cell_length_c 4.863
_cell_angle_alpha 90.00
_cell_angle_beta 90.00
_cell_angle_gamma 90.00
_symmetry_space_group_name_H-M 'P 4/m m m'
_symmetry_Int_Tables_number 123
_symmetry_space_group_name_Hall '-P 4 2'
loop_
_atom_site_label
_atom_site_fract_x
_atom_site_fract_y
_atom_site_fract_z
Cs1 0.000 0.000 0.000
Mg1 0.000 0.500 0.000
Zr1 0.500 0.500 0.500
Be1 0.000 0.000 0.500
```



Material: Tb2NdZn2Sn2
Method: DFT, PBE
State: optimized geometry

CIF file:
```
data_Tb2NdZn2Sn2
_cell_length_a 4.6654
_cell_length_b 4.6654
_cell_length_c 28.4015
_cell_angle_alpha 90.00
_cell_angle_beta 90.00
_cell_angle_gamma 120.00
_symmetry_space_group_name_H-M 'R -3 m'
_symmetry_Int_Tables_number 166
_symmetry_space_group_name_Hall '-R 3 2"'
loop_
_atom_site_label
_atom_site_fract_x
_atom_site_fract_y
_atom_site_fract_z
Tb1 0.0000 0.0000 0.1318
Nd1 0.0000 0.0000 0.0000
Zn1 0.0000 0.0000 0.4210
Sn1 0.0000 0.0000 0.2655
```



Material: LiMgO2
Method: DFT, PBE
State: optimized geometry

Output
- Raw formation energy: -0.97 eV/atom

CIF file:
```
data_LiMgO2
_cell_length_a 3.0701
_cell_length_b 3.0701
_cell_length_c 17.9218
_cell_angle_alpha 90.00
_cell_angle_beta 90.00
_cell_angle_gamma 120.00
_symmetry_space_group_name_H-M 'R -3 m'
_symmetry_Int_Tables_number 166
_symmetry_space_group_name_Hall '-R 3 2"'
loop_
_atom_site_label
_atom_site_fract_x
_atom_site_fract_y
_atom_site_fract_z
Li1 0.0000 0.0000 0.0000
Mg1 0.0000 0.0000 0.5000
O1 0.0000 0.0000 0.3982
```



Material: Nd5PuIn6
Method: DFT, PBE
State: optimized geometry

CIF file:
```
data_Nd5PuIn6
_cell_length_a 5.466
_cell_length_b 7.726
_cell_length_c 16.396
_cell_angle_alpha 90.00
_cell_angle_beta 90.00
_cell_angle_gamma 90.00
_symmetry_space_group_name_H-M 'I m m m'
_symmetry_Int_Tables_number 71
_symmetry_space_group_name_Hall '-I 2 2'
loop_
_atom_site_label
_atom_site_fract_x
_atom_site_fract_y
_atom_site_fract_z
Nd1 0.000 0.000 0.000
Nd2 0.000 0.000 0.336
Nd3 0.000 0.500 0.332
Pu1 0.000 0.500 0.000
In1 0.000 0.249 0.167
In2 0.000 0.252 0.500
```



How do the records compare in size of the total moment? In the order shown, they have 0.0, 0.0, 0.0, 0.0, 0.5, 0.0, 0.0, 0.0, 0.0, 0.0, 3.0, 11.6 μB/cell.
How do the records compare in raw total energy? In the order shown, they have -6.4550, -2.8896, -4.3525, -5.1945, -4.1328, -9.7112, -2.2437, -3.8016, -1.3268, -3.8726, -4.3274, -4.9683 eV per atom.